1.
Computed, not measured: a relaxed BaAgW crystal at the PBEsol level of DFT.

a b c (Å): 3.0334 3.0334 8.1662
angles (deg): 90.00 90.00 120.00
Space group P3m1 (No. 156)
Unique sites:
Ba 0.0000 0.0000 0.0000 (multiplicity 1)
Ag 0.3333 0.6667 0.3668 (multiplicity 1)
W 0.6667 0.3333 0.6395 (multiplicity 1)

Results
Formation enthalpy at 0 K in eV/atom: 1.18
Energy relative to the lowest polymorph listed for this composition in meV/atom: 96
Total energy in eV per cell: -15.71


2.
Computed, not measured: a relaxed VRh crystal at the PBEsol level of DFT.

a b c (Å): 5.773 6.609 2.748
angles (deg): 90.00 90.00 90.00
Space group Cmmm (No. 65)
Unique sites:
V 0.204 0.000 0.000 (multiplicity 4)
Rh 0.000 0.286 0.500 (multiplicity 4)

Results
Formation enthalpy at 0 K in eV/atom: -0.39
Total energy in eV per cell: -74.24


3.
Computed, not measured: a relaxed CdPW2 crystal at the PBEsol level of DFT.

a b c (Å): 3.061 4.682 8.819
angles (deg): 90.00 90.00 90.00
Space group Immm (No. 71)
Unique sites:
Cd 0.000 0.000 0.000 (multiplicity 2)
P 0.000 0.000 0.500 (multiplicity 2)
W 0.000 0.500 0.210 (multiplicity 4)

Results
Formation enthalpy at 0 K in eV/atom: 0.38
Total energy in eV per cell: -66.18


4.
Computed, not measured: a relaxed AlFe2Pb crystal at the PBEsol level of DFT.

a b c (Å): 4.235 4.235 3.065
angles (deg): 90.00 90.00 90.00
Space group P4/mmm (No. 123)
Unique sites:
Al 0.000 0.000 0.000 (multiplicity 1)
Fe 0.000 0.500 0.500 (multiplicity 2)
Pb 0.500 0.500 0.000 (multiplicity 1)

Results
Formation enthalpy at 0 K in eV/atom: 0.35
Total energy in eV per cell: -24.63


5.
Computed, not measured: a relaxed CuNiSe2 crystal at the PBEsol level of DFT.

a b c (Å): 5.322 5.322 10.668
angles (deg): 90.00 90.00 90.00
Space group I-42d (No. 122)
Unique sites:
Cu 0.000 0.000 0.000 (multiplicity 4)
Ni 0.000 0.000 0.500 (multiplicity 4)
Se 0.236 0.250 0.625 (multiplicity 8)

Results
Raw formation energy in kJ/mol of atoms: -14
Total energy in eV per cell: -75.16


6.
Computed, not measured: a relaxed AlPtSe2 crystal at the PBEsol level of DFT.

a b c (Å): 3.560 3.932 10.606
angles (deg): 90.00 90.00 90.00
Space group Immm (No. 71)
Unique sites:
Al 0.000 0.000 0.000 (multiplicity 2)
Pt 0.000 0.000 0.500 (multiplicity 2)
Se 0.000 0.000 0.270 (multiplicity 4)

Results
Raw formation energy in kJ/mol of atoms: -28
Total energy in eV per cell: -39.85